A plane-wave DFT calculation with PBE with a Hubbard U was carried out for a relaxed BaAcCoO3 crystal.

Cell lengths 3.740, 12.048, 9.878 Å; angles 90.00, 90.00, 90.00 degrees
Space group Cmcm (No. 63)
Asymmetric unit:
1 Ba 0.000 0.239 0.250 [4 per cell]
2 Ac 0.000 0.000 0.000 [4 per cell]
3 Co 0.000 0.496 0.750 [4 per cell]
4 O 0.000 0.079 0.750 [4 per cell]
5 O 0.000 0.378 0.588 [8 per cell]

The calculation puts the calculated volume at 111.26 Å³/f.u. As for the total energy: -6.462 eV/atom. The calculation puts the density of states at the Fermi level at 0.5 states/eV/f.u.